## Pm3AsN (PBE)

Data for Pm3AsN after structural relaxation.

Properties
DOS(E_F) in states/eV/f.u.: 2.891
Energy above the most stable polymorph in this dataset in meV per atom: 134
ΔE_f (raw) in eV/atom: -0.930

Cell and atoms, written as POSCAR:
```
Pm3AsN
1.0
-2.265 0.227 -4.310
4.300 -0.297 -2.275
-0.368 -4.860 -0.062
Pm As N
3 1 1
Cartesian
2.150 -0.148 -1.138
-0.184 -2.430 -0.031
-1.132 0.113 -2.155
0.834 -2.465 -3.324
0.000 0.000 0.000
```